Entry 1:
Mg2TaSe: optimized geometry, PBE.

Calculated values
raw total energy	-4.324	eV per atom
M_tot	0.000	μB/atom

Lattice parameters (Å, degrees): 7.8335 7.8335 6.1420 50.38 50.38 90.00
Element x y z (fractional)
Mg1 0.5857 0.1250 0.2500
Mg2 0.1643 0.6250 0.2500
Mg3 0.3750 0.4143 0.7500
Mg4 0.8750 0.8357 0.7500
Se1 0.5000 0.5000 0.0000
Se2 0.2500 0.7500 0.5000
Ta1 0.0000 0.0000 0.0000
Ta2 0.7500 0.2500 0.5000

***

Entry 2:
TaTlBr2: optimized geometry, PBE.

Calculated values
raw total energy	-4.191	eV per atom
M_tot	0.000	μB/atom

Lattice parameters (Å, degrees): 3.3287 3.3287 8.6230 90.00 90.00 90.00
Element x y z (fractional)
Tl1 0.5000 0.5000 0.7288
Br1 0.0000 0.0000 0.9666
Br2 0.5000 0.5000 0.3144
Ta1 0.0000 0.0000 0.4902

***

Entry 3:
NpMnS2: optimized geometry, PBE.

Calculated values
raw total energy	-8.274	eV per atom
M_tot	0.000	μB/atom

Lattice parameters (Å, degrees): 4.0954 4.0954 7.6044 74.38 74.38 60.00
Element x y z (fractional)
Np1 0.5000 0.5000 0.5000
S1 0.1030 0.1030 0.6909
S2 0.8970 0.8970 0.3091
Mn1 0.0000 0.0000 0.0000